1.
Compound: SnPd3S
Source: Alexandria
Functional: GGA-PBE
Structure: relaxed

a = 4.1846 Å, b = 6.8694 Å, c = 7.4212 Å
α = 68.10°, β = 90.00°, γ = 107.73°
Fractional coordinates of all 10 atoms:
Pd 0.8256 0.6511 0.4944
S 0.1172 0.2343 0.8488
Pd 0.1744 0.3489 0.5056
Pd 0.0545 0.1091 0.2111
S 0.8828 0.7657 0.1512
Sn 0.6415 0.2830 0.3201
Pd 0.9455 0.8909 0.7889
Sn 0.3585 0.7170 0.6799
Pd 0.3036 0.6071 0.0801
Pd 0.6964 0.3929 0.9199

## Properties
The total magnetic moment comes out at 0.0 μB/f.u. The energy above the most stable polymorph in this dataset is 0 meV per atom.

***

2.
Compound: Y3ZnOs
Source: Alexandria
Functional: GGA-PBE
Structure: relaxed

a = 5.7576 Å, b = 5.7576 Å, c = 8.5629 Å
α = 101.93°, β = 101.92°, γ = 112.67°
Fractional coordinates of all 10 atoms:
Y 0.7088 0.5790 0.2878
Zn 0.3067 0.8067 0.5000
Y 0.0789 0.2088 0.2878
Os 0.7500 0.7500 0.0000
Zn 0.6933 0.1933 0.5000
Y 0.6972 0.1972 0.8944
Y 0.9211 0.7912 0.7122
Y 0.2912 0.4210 0.7122
Y 0.3028 0.8028 0.1056
Os 0.2500 0.2500 0.0000

## Properties
The total magnetic moment comes out at 0.0 μB/f.u. The energy above the most stable polymorph in this dataset is 0 meV per atom. The formation energy is -0.278 eV per atom.

***

3.
Compound: NbGaRh2
Source: Alexandria
Functional: GGA-PBE
Structure: relaxed

a = 2.9421 Å, b = 4.5663 Å, c = 4.5663 Å
α = 90.00°, β = 90.00°, γ = 90.00°
Fractional coordinates of all 4 atoms:
Nb 0.5000 0.5000 0.5000
Rh 0.0000 0.5000 0.0000
Rh 0.0000 0.0000 0.5000
Ga 0.5000 0.0000 0.0000

## Properties
The total magnetic moment comes out at 0.0 μB/f.u. The formation energy is -0.433 eV per atom.

***

4.
Compound: NbGeBi2Mo
Source: Alexandria
Functional: GGA-PBE
Structure: relaxed

a = 5.4093 Å, b = 4.8300 Å, c = 5.4093 Å
α = 90.00°, β = 90.00°, γ = 90.00°
Site moments in Bohr magnetons follow the coordinates.
Fractional coordinates of all 5 atoms:
Bi 0.0000 0.0000 0.5000  -0.06
Bi 0.5000 0.0000 0.0000  -0.02
Nb 0.5000 0.5000 0.5000  2.73
Mo 0.0000 0.0000 0.0000  0.75
Ge 0.0000 0.5000 0.0000  0.01

## Properties
The total magnetic moment comes out at 4.4 μB/f.u. The formation energy is 1.121 eV per atom.

***

5.
Compound: TbPuFeTc
Source: Alexandria
Functional: GGA-PBE
Structure: relaxed

a = 4.7808 Å, b = 4.7808 Å, c = 4.7808 Å
α = 60.00°, β = 60.00°, γ = 60.00°
Site moments in Bohr magnetons follow the coordinates.
Fractional coordinates of all 4 atoms:
Fe 0.7500 0.7500 0.7500  -2.19
Tb 0.5000 0.5000 0.5000  0.13
Tc 0.2500 0.2500 0.2500  -0.69
Pu 0.0000 0.0000 0.0000  5.01

## Properties
The total magnetic moment comes out at 2.5 μB/f.u. The formation energy is 0.094 eV per atom.

***

6.
Compound: PrTmTe2I
Source: Alexandria
Functional: GGA-PBE
Structure: relaxed

a = 4.6250 Å, b = 4.6250 Å, c = 15.0351 Å
α = 90.00°, β = 90.00°, γ = 90.00°
Fractional coordinates of all 10 atoms:
Te 0.0000 0.5000 0.7121
Tm 0.0000 0.5000 0.9132
I 0.5000 0.5000 0.5000
Tm 0.5000 0.0000 0.0868
I 0.0000 0.0000 0.5000
Pr 0.5000 0.0000 0.6563
Pr 0.0000 0.5000 0.3437
Te 0.5000 0.0000 0.8862
Te 0.5000 0.0000 0.2879
Te 0.0000 0.5000 0.1138

## Properties
The total magnetic moment comes out at 0.0 μB/f.u. The value obtained for the total energy is -45.3 eV per cell.

***

7.
Compound: ScTl2Cd
Source: Alexandria
Functional: GGA-PBE
Structure: relaxed

a = 10.2190 Å, b = 10.2190 Å, c = 10.2190 Å
α = 19.34°, β = 19.34°, γ = 19.34°
Fractional coordinates of all 4 atoms:
Cd 0.2500 0.2500 0.2500
Sc 0.7500 0.7500 0.7500
Tl 0.0012 0.0012 0.0012
Tl 0.4988 0.4988 0.4988

## Properties
The total magnetic moment comes out at 0.0 μB/f.u. The energy above the most stable polymorph in this dataset is 134 meV per atom. The formation energy is -0.003 eV per atom.

***

8.
Compound: OsRuW3
Source: Alexandria
Functional: GGA-PBE
Structure: relaxed

a = 4.6810 Å, b = 4.6810 Å, c = 4.6810 Å
α = 90.00°, β = 90.00°, γ = 90.00°
Fractional coordinates of all 5 atoms:
W 0.5000 0.0000 0.0000
Os 0.0000 0.0000 0.0000
W 0.0000 0.5000 0.0000
Ru 0.5000 0.5000 0.5000
W 0.0000 0.0000 0.5000

## Properties
The total magnetic moment comes out at 0.0 μB/f.u. The energy above the most stable polymorph in this dataset is 0 meV per atom. The formation energy is 2.166 eV per atom.

***

9.
Compound: AcMg8Cd4
Source: Alexandria
Functional: GGA-PBE
Structure: relaxed

a = 6.0057 Å, b = 7.7797 Å, c = 7.7797 Å
α = 81.43°, β = 67.29°, γ = 67.29°
Fractional coordinates of all 13 atoms:
Cd 0.5000 0.0000 0.5000
Mg 0.6474 0.3526 0.3526
Mg 0.7169 0.7831 0.7831
Mg 0.5000 0.7831 0.2169
Mg 0.0000 0.3526 0.6474
Mg 0.5000 0.2169 0.7831
Mg 0.2831 0.2169 0.2169
Ac 0.0000 0.0000 0.0000
Cd 0.5000 0.5000 0.0000
Cd 0.0000 0.0000 0.5000
Mg 0.0000 0.6474 0.3526
Mg 0.3526 0.6474 0.6474
Cd 0.0000 0.5000 0.0000

## Properties
The total magnetic moment comes out at 0.0 μB/f.u. The formation energy is -0.160 eV per atom.

***

10.
Compound: KBa4Pu3O12
Source: Alexandria
Functional: GGA-PBE
Structure: relaxed

a = 7.6887 Å, b = 7.6887 Å, c = 7.6887 Å
α = 109.47°, β = 109.47°, γ = 109.47°
Site moments in Bohr magnetons follow the coordinates.
Fractional coordinates of all 20 atoms:
O 0.5000 0.2500 0.7500  -0.07
O 0.2500 0.7500 0.5000  -0.07
O 0.0000 0.7226 0.7226  -0.10
O 0.7226 0.7226 0.0000  -0.10
O 0.2774 0.2774 0.0000  -0.10
K 0.0000 0.0000 0.0000  -0.01
Ba 0.5000 0.0000 0.0000  0.01
O 0.2500 0.5000 0.7500  -0.07
O 0.0000 0.2774 0.2774  -0.10
Pu 0.5000 0.5000 0.0000  3.27
Pu 0.5000 0.0000 0.5000  3.27
O 0.7226 0.0000 0.7226  -0.10
Ba 0.0000 0.5000 0.0000  0.01
O 0.7500 0.5000 0.2500  -0.07
O 0.5000 0.7500 0.2500  -0.07
Ba 0.5000 0.5000 0.5000  0.01
O 0.7500 0.2500 0.5000  -0.07
Pu 0.0000 0.5000 0.5000  3.27
O 0.2774 0.0000 0.2774  -0.10
Ba 0.0000 0.0000 0.5000  0.01

## Properties
The total magnetic moment comes out at 9.0 μB/f.u. The value obtained for the total energy is -166.5 eV per cell.

***

11.
Compound: BeCdMo2
Source: Alexandria
Functional: GGA-PBE
Structure: relaxed

a = 4.7736 Å, b = 4.7736 Å, c = 5.1237 Å
α = 84.56°, β = 84.56°, γ = 32.71°
Fractional coordinates of all 4 atoms:
Mo 0.7592 0.7592 0.7529
Cd 0.2469 0.2469 0.2678
Mo 0.9999 0.9999 0.9664
Be 0.4940 0.4940 0.5129

## Properties
The total magnetic moment comes out at 0.0 μB/f.u. The energy above the most stable polymorph in this dataset is 173 meV per atom. The formation energy is 0.431 eV per atom.

***

12.
Compound: Li3CaAg3
Source: Alexandria
Functional: GGA-PBE
Structure: relaxed

a = 5.1403 Å, b = 8.3536 Å, c = 8.3536 Å
α = 120.00°, β = 90.00°, γ = 90.00°
Fractional coordinates of all 14 atoms:
Ag 0.7500 0.0939 0.5478
Li 0.2500 0.8780 0.1191
Ag 0.2500 0.5461 0.0939
Li 0.7500 0.1220 0.8809
Ca 0.2500 0.3333 0.6667
Li 0.7500 0.7589 0.8780
Ag 0.2500 0.9061 0.4522
Li 0.2500 0.8809 0.7589
Li 0.2500 0.2411 0.1220
Ag 0.7500 0.4522 0.5461
Li 0.7500 0.1191 0.2411
Ca 0.7500 0.6667 0.3333
Ag 0.7500 0.4539 0.9061
Ag 0.2500 0.5478 0.4539

## Properties
The total magnetic moment comes out at 0.0 μB/f.u. The energy above the most stable polymorph in this dataset is 35 meV per atom. The formation energy is -0.101 eV per atom.

***

13.
Compound: CeTmSc2In4
Source: Alexandria
Functional: GGA-PBE
Structure: relaxed

a = 5.1989 Å, b = 5.1989 Å, c = 9.0752 Å
α = 73.36°, β = 73.36°, γ = 60.00°
Site moments in Bohr magnetons follow the coordinates.
Fractional coordinates of all 8 atoms:
In 0.1226 0.1226 0.6323  0.01
In 0.8774 0.8774 0.3677  0.01
Tm 0.0000 0.0000 0.0000  0.00
Sc 0.2505 0.2505 0.2485  0.01
In 0.6269 0.6269 0.1192  0.00
In 0.3731 0.3731 0.8808  0.00
Sc 0.7495 0.7495 0.7515  0.01
Ce 0.5000 0.5000 0.5000  0.74

## Properties
The total magnetic moment comes out at 0.9 μB/f.u. The formation energy is -0.385 eV per atom.

***

14.
Compound: LaTaW
Source: Alexandria
Functional: GGA-PBE
Structure: relaxed

a = 5.1775 Å, b = 5.1775 Å, c = 5.1775 Å
α = 148.08°, β = 119.90°, γ = 69.68°
Fractional coordinates of all 3 atoms:
Ta 0.3335 0.3335 0.0000
La 0.0003 0.0003 0.0000
W 0.6663 0.6663 0.0000

## Properties
The total magnetic moment comes out at 0.0 μB/f.u. The energy above the most stable polymorph in this dataset is 350 meV per atom. The formation energy is 0.776 eV per atom.

***

15.
Compound: SrYMg6
Source: Alexandria
Functional: GGA-PBE
Structure: relaxed

a = 6.8317 Å, b = 6.8317 Å, c = 4.7507 Å
α = 90.00°, β = 90.00°, γ = 90.00°
Fractional coordinates of all 8 atoms:
Y 0.0000 0.0000 0.5000
Mg 0.2378 0.2378 0.0000
Mg 0.7622 0.2378 0.0000
Mg 0.2378 0.7622 0.0000
Sr 0.5000 0.5000 0.5000
Mg 0.7622 0.7622 0.0000
Mg 0.5000 0.0000 0.5000
Mg 0.0000 0.5000 0.5000

## Properties
The total magnetic moment comes out at 0.0 μB/f.u. The formation energy is -0.021 eV per atom.

***

16.
Compound: PrSmZnCd
Source: Alexandria
Functional: GGA-PBE
Structure: relaxed

a = 5.3298 Å, b = 5.3298 Å, c = 5.3298 Å
α = 60.00°, β = 60.00°, γ = 60.00°
Fractional coordinates of all 4 atoms:
Zn 0.2500 0.2500 0.2500
Sm 0.0000 0.0000 0.0000
Cd 0.7500 0.7500 0.7500
Pr 0.5000 0.5000 0.5000

## Properties
The total magnetic moment comes out at 0.0 μB/f.u. The energy above the most stable polymorph in this dataset is 25 meV per atom. The formation energy is -0.293 eV per atom.

***

17.
Compound: Ca2AcReO6
Source: Alexandria
Functional: GGA-PBE
Structure: relaxed

a = 5.4169 Å, b = 5.6973 Å, c = 5.6973 Å
α = 90.00°, β = 90.00°, γ = 90.00°
Fractional coordinates of all 10 atoms:
Ca 0.9647 0.5000 0.0000
O 0.1265 0.5000 0.5000
O 0.2708 0.0000 0.0000
Ca 0.9647 0.0000 0.5000
O 0.7421 0.7761 0.7761
O 0.7421 0.2239 0.2239
O 0.7421 0.2239 0.7761
O 0.7421 0.7761 0.2239
Re 0.5956 0.0000 0.0000
Ac 0.5562 0.5000 0.5000

## Properties
The total magnetic moment comes out at 0.0 μB/f.u. The value obtained for the total energy is -73.9 eV per cell.

***

18.
Compound: FeNiIrOs
Source: Alexandria
Functional: GGA-PBE
Structure: relaxed

a = 4.1773 Å, b = 4.1773 Å, c = 4.1773 Å
α = 60.00°, β = 60.00°, γ = 60.00°
Site moments in Bohr magnetons follow the coordinates.
Fractional coordinates of all 4 atoms:
Ir 0.2500 0.2500 0.2500  0.07
Fe 0.5000 0.5000 0.5000  2.46
Os 0.7500 0.7500 0.7500  -0.07
Ni 0.0000 0.0000 0.0000  -0.19

## Properties
The total magnetic moment comes out at 2.3 μB/f.u. The formation energy is 0.153 eV per atom.

***

19.
Compound: RbBa2AlSe4
Source: Alexandria
Functional: GGA-PBE
Structure: relaxed

a = 9.1289 Å, b = 9.1289 Å, c = 8.8707 Å
α = 119.02°, β = 119.02°, γ = 90.67°
Fractional coordinates of all 16 atoms:
Al 0.0000 0.0000 0.0000
Al 0.5000 0.5000 0.5000
Se 0.8084 0.1801 0.9941
Se 0.7467 0.7520 0.5084
Ba 0.5000 0.0000 0.5000
Se 0.2520 0.2467 0.0084
Rb 0.0000 0.5000 0.5000
Rb 0.0000 0.5000 0.0000
Ba 0.5000 0.0000 0.0000
Ba 0.0000 0.0000 0.5000
Se 0.3199 0.6916 0.5059
Se 0.7480 0.7533 0.9916
Se 0.6801 0.3084 0.4941
Ba 0.5000 0.5000 0.0000
Se 0.1916 0.8199 0.0059
Se 0.2533 0.2480 0.4916

## Properties
The total magnetic moment comes out at 0.0 μB/f.u. The value obtained for the total energy is -65.1 eV per cell.

***

20.
Compound: Cs6K2Au3
Source: Alexandria
Functional: GGA-PBE
Structure: relaxed

a = 9.0106 Å, b = 9.0050 Å, c = 12.0099 Å
α = 82.86°, β = 75.61°, γ = 59.98°
Fractional coordinates of all 11 atoms:
Au 0.6677 0.6647 0.0000
K 0.1672 0.6657 0.5000
Cs 0.3903 0.6713 0.8279
Cs 0.7196 0.0000 0.8267
Cs 0.9384 0.6713 0.1721
Cs 0.2804 0.0000 0.1733
K 0.8328 0.3343 0.5000
Cs 0.0616 0.3287 0.8279
Au 0.3323 0.3353 0.0000
Au 0.0000 0.0000 0.0000
Cs 0.6097 0.3287 0.1721

## Properties
The total magnetic moment comes out at 0.0 μB/f.u. The formation energy is -0.160 eV per atom.

***

21.
Compound: TbTlRu
Source: Alexandria
Functional: GGA-PBE
Structure: relaxed

a = 3.5106 Å, b = 3.5106 Å, c = 5.8311 Å
α = 107.52°, β = 107.52°, γ = 90.00°
Fractional coordinates of all 3 atoms:
Tb 0.9316 0.9316 0.8632
Tl 0.6350 0.6350 0.2700
Ru 0.2834 0.2834 0.5669

## Properties
The total magnetic moment comes out at 0.0 μB/f.u. The formation energy is -0.100 eV per atom.

***

22.
Compound: ZnSiMo3
Source: Alexandria
Functional: GGA-PBE
Structure: relaxed

a = 4.5012 Å, b = 4.5012 Å, c = 4.5012 Å
α = 90.00°, β = 90.00°, γ = 90.00°
Fractional coordinates of all 5 atoms:
Mo 0.0000 0.0000 0.5000
Si 0.0000 0.0000 0.0000
Zn 0.5000 0.5000 0.5000
Mo 0.0000 0.5000 0.0000
Mo 0.5000 0.0000 0.0000

## Properties
The total magnetic moment comes out at 0.1 μB/f.u. The energy above the most stable polymorph in this dataset is 0 meV per atom.

***

23.
Compound: Ca3TiPd
Source: Alexandria
Functional: GGA-PBE
Structure: relaxed

a = 5.5253 Å, b = 5.5253 Å, c = 5.5253 Å
α = 90.00°, β = 90.00°, γ = 90.00°
Site moments in Bohr magnetons follow the coordinates.
Fractional coordinates of all 5 atoms:
Pd 0.0000 0.0000 0.0000  0.04
Ca 0.0000 0.5000 0.0000  0.02
Ti 0.5000 0.5000 0.5000  1.97
Ca 0.5000 0.0000 0.0000  0.04
Ca 0.0000 0.0000 0.5000  0.04

## Properties
The total magnetic moment comes out at 3.3 μB/f.u. The energy above the most stable polymorph in this dataset is 0 meV per atom. The formation energy is 0.211 eV per atom.

***

24.
Compound: Pr3InPd12
Source: Alexandria
Functional: GGA-PBE
Structure: relaxed

a = 4.1984 Å, b = 4.1984 Å, c = 16.5507 Å
α = 90.00°, β = 90.00°, γ = 90.00°
Fractional coordinates of all 16 atoms:
Pd 0.5000 0.5000 0.5000
In 0.0000 0.0000 0.0000
Pd 0.5000 0.5000 0.2435
Pr 0.0000 0.0000 0.7571
Pd 0.0000 0.5000 0.3719
Pd 0.5000 0.0000 0.1148
Pd 0.5000 0.0000 0.3719
Pd 0.0000 0.5000 0.6281
Pr 0.0000 0.0000 0.2429
Pd 0.5000 0.0000 0.8852
Pd 0.5000 0.5000 0.0000
Pd 0.0000 0.5000 0.1148
Pd 0.0000 0.5000 0.8852
Pr 0.0000 0.0000 0.5000
Pd 0.5000 0.5000 0.7565
Pd 0.5000 0.0000 0.6281

## Properties
The total magnetic moment comes out at 0.0 μB/f.u. The formation energy is -0.662 eV per atom.